DFT (PBE) results for MnPt2Cl after structural relaxation.

Properties
For the energy above the most stable polymorph in this dataset, the calculation gives 99 meV per atom. The magnetic moment is 4.235 μB/cell. As for the energy: -23.082 eV/cell. The value obtained for the raw formation energy is 0.4 kJ/mol of atoms.

Cell: 2.9078 2.9078 8.5430 Å, 90.00 90.00 90.00°
Fractional positions:
Mn (0.0000, 0.0000, 0.0000)
Pt (0.0000, 0.0000, 0.4329)
Pt (0.5000, 0.5000, 0.2098)
Cl (0.5000, 0.5000, 0.8161)